## w
A relaxed structure of BiI2O6. Source: Alexandria, functional PBE.

Magnetization ... 0.0000 μB per atom
Mass density ... 5.24 g/cm³

a = 10.312 Å, b = 10.384 Å, c = 6.620 Å
α = 90.00°, β = 92.19°, γ = 90.00°
Space group C2/c (No. 15)
Unique sites:
Bi 0.000 0.032 0.250 x4
I 0.169 0.367 0.309 x8
O 0.072 0.381 0.074 x8
O 0.168 0.189 0.340 x8
O 0.172 0.111 0.808 x8


## x
A relaxed structure of BiI2O6. Source: Alexandria, functional PBE.

Magnetization ... 0.0000 μB per atom
Mass density ... 5.35 g/cm³

a = 9.766 Å, b = 12.027 Å, c = 6.079 Å
α = 90.00°, β = 103.60°, γ = 90.00°
Space group C2/c (No. 15)
Unique sites:
Bi 0.000 0.088 0.250 x4
I 0.177 0.376 0.208 x8
O 0.102 0.392 0.456 x8
O 0.137 0.054 0.630 x8
O 0.161 0.220 0.174 x8


According to the calculations, the structures order from most to least stable as w, x.


## w
A relaxed structure of BiOsI2O. Source: Alexandria, functional PBE.

Magnetization ... 0.0001 μB per atom
Mass density ... 8.95 g/cm³

a = 5.746 Å, b = 5.746 Å, c = 3.758 Å
α = 90.00°, β = 90.00°, γ = 90.00°
Space group P4/mmm (No. 123)
Unique sites:
Bi 0.000 0.000 0.000 x1
Os 0.500 0.500 0.500 x1
I 0.000 0.500 0.500 x2
O 0.500 0.500 0.000 x1


## x
A relaxed structure of BiOsI2O. Source: Alexandria, functional PBE.

Magnetization ... 0.9338 μB per atom
Mass density ... 6.63 g/cm³

a = 6.267 Å, b = 6.267 Å, c = 4.268 Å
α = 90.00°, β = 90.00°, γ = 90.00°
Space group P4/mmm (No. 123)
Unique sites:
Bi 0.000 0.000 0.000 x1
Os 0.500 0.500 0.500 x1
I 0.000 0.500 0.000 x2
O 0.000 0.000 0.500 x1


According to the calculations, the structures order from most to least stable as w, x.